a.
# TaFePt3, relaxed, DFT PBE-GGA
# Size of the total moment in Bohr magnetons per cell: 7.20
# D(E_F) in states/eV per cell: 6.8
data_TaFePt3
_space_group_name_H-M_alt 'P m m n'
_space_group_IT_number 59
_cell_length_a 4.181
_cell_length_b 5.367
_cell_length_c 7.448
_cell_angle_alpha 90.00
_cell_angle_beta 90.00
_cell_angle_gamma 90.00
loop_
_space_group_symop_operation_xyz
'x,y,z'
'-x,-y,-z'
'-x+1/2,-y+1/2,z'
'x+1/2,y+1/2,-z'
'x+1/2,-y,-z'
'-x+1/2,y,z'
'-x,y+1/2,-z'
'x,-y+1/2,z'
loop_
_atom_site_label
_atom_site_type_symbol
_atom_site_fract_x
_atom_site_fract_y
_atom_site_fract_z
_atom_site_occupancy
Ta1 Ta 0.250 0.250 0.070 1
Fe1 Fe 0.250 0.750 0.365 1
Pt1 Pt 0.250 0.250 0.434 1
Pt2 Pt 0.250 0.504 0.773 1

---

b.
# TaFePt3, relaxed, DFT PBE-GGA
# Size of the total moment in Bohr magnetons per cell: 10.73
# D(E_F) in states/eV per cell: 12.2
data_TaFePt3
_space_group_name_H-M_alt 'P n m a'
_space_group_IT_number 62
_cell_length_a 5.565
_cell_length_b 3.928
_cell_length_c 13.971
_cell_angle_alpha 90.00
_cell_angle_beta 90.00
_cell_angle_gamma 90.00
loop_
_space_group_symop_operation_xyz
'x,y,z'
'-x,-y,-z'
'-x+1/2,-y,z+1/2'
'x+1/2,y,-z+1/2'
'x+1/2,-y+1/2,-z+1/2'
'-x+1/2,y+1/2,z+1/2'
'-x,y+1/2,-z'
'x,-y+1/2,z'
loop_
_atom_site_label
_atom_site_type_symbol
_atom_site_fract_x
_atom_site_fract_y
_atom_site_fract_z
_atom_site_occupancy
Ta1 Ta 0.131 0.250 0.146 1
Fe1 Fe 0.110 0.250 0.551 1
Pt1 Pt 0.121 0.250 0.746 1
Pt2 Pt 0.122 0.250 0.952 1
Pt3 Pt 0.123 0.250 0.353 1

---

Short version: b, a, most stable first.

---

a.
# FeTcPt2, relaxed, DFT PBE-GGA
# Size of the total moment in Bohr magnetons per cell: 6.23
# D(E_F) in states/eV per cell: 13.8
data_FeTcPt2
_space_group_name_H-M_alt 'R 3 m'
_space_group_IT_number 160
_space_group_name_Hall 'R 3 -2"'
_cell_length_a 2.7369
_cell_length_b 2.7369
_cell_length_c 26.8210
_cell_angle_alpha 90.00
_cell_angle_beta 90.00
_cell_angle_gamma 120.00
loop_
_atom_site_label
_atom_site_type_symbol
_atom_site_fract_x
_atom_site_fract_y
_atom_site_fract_z
_atom_site_occupancy
Fe1 Fe 0.0000 0.0000 0.0000 1
Tc1 Tc 0.0000 0.0000 0.2570 1
Pt1 Pt 0.0000 0.0000 0.5050 1
Pt2 Pt 0.0000 0.0000 0.7465 1

---

b.
# FeTcPt2, relaxed, DFT PBE-GGA
# Size of the total moment in Bohr magnetons per cell: 8.86
# D(E_F) in states/eV per cell: 16.2
data_FeTcPt2
_space_group_name_H-M_alt 'R -3 m'
_space_group_IT_number 166
_space_group_name_Hall '-R 3 2"'
_cell_length_a 2.7518
_cell_length_b 2.7518
_cell_length_c 26.6664
_cell_angle_alpha 90.00
_cell_angle_beta 90.00
_cell_angle_gamma 120.00
loop_
_atom_site_label
_atom_site_type_symbol
_atom_site_fract_x
_atom_site_fract_y
_atom_site_fract_z
_atom_site_occupancy
Fe1 Fe 0.0000 0.0000 0.0000 1
Tc1 Tc 0.0000 0.0000 0.5000 1
Pt1 Pt 0.0000 0.0000 0.2517 1

---

Short version: b, a, most stable first.

---

a.
# FeTe2Pt, relaxed, DFT PBE-GGA
# Size of the total moment in Bohr magnetons per cell: 0.00
# D(E_F) in states/eV per cell: 13.1
data_FeTe2Pt
_space_group_name_H-M_alt 'I -4 2 d'
_space_group_IT_number 122
_space_group_name_Hall 'I -4 2bw'
_cell_length_a 5.872
_cell_length_b 5.872
_cell_length_c 11.566
_cell_angle_alpha 90.00
_cell_angle_beta 90.00
_cell_angle_gamma 90.00
loop_
_atom_site_label
_atom_site_type_symbol
_atom_site_fract_x
_atom_site_fract_y
_atom_site_fract_z
_atom_site_occupancy
Fe1 Fe 0.000 0.000 0.000 1
Te1 Te 0.222 0.250 0.125 1
Pt1 Pt 0.000 0.000 0.500 1

---

b.
# FeTe2Pt, relaxed, DFT PBE-GGA
# Size of the total moment in Bohr magnetons per cell: 0.00
# D(E_F) in states/eV per cell: 17.7
data_FeTe2Pt
_space_group_name_H-M_alt 'F m -3 m'
_space_group_IT_number 225
_space_group_name_Hall '-F 4 2 3'
_cell_length_a 6.702
_cell_length_b 6.702
_cell_length_c 6.702
_cell_angle_alpha 90.00
_cell_angle_beta 90.00
_cell_angle_gamma 90.00
loop_
_atom_site_label
_atom_site_type_symbol
_atom_site_fract_x
_atom_site_fract_y
_atom_site_fract_z
_atom_site_occupancy
Fe1 Fe 0.000 0.000 0.000 1
Te1 Te 0.250 0.250 0.250 1
Pt1 Pt 0.000 0.000 0.500 1

---

Short version: a, b, most stable first.

---

a.
# FeTe2Pt, relaxed, DFT PBE-GGA
# Size of the total moment in Bohr magnetons per cell: 5.83
# D(E_F) in states/eV per cell: 7.7
data_FeTe2Pt
_space_group_name_H-M_alt 'A m m 2'
_space_group_IT_number 38
_cell_length_a 4.605
_cell_length_b 5.312
_cell_length_c 7.272
_cell_angle_alpha 90.00
_cell_angle_beta 90.00
_cell_angle_gamma 90.00
loop_
_space_group_symop_operation_xyz
'x,y,z'
'-x,-y,z'
'-x,y,z'
'x,-y,z'
'x,y+1/2,z+1/2'
'-x,-y+1/2,z+1/2'
'-x,y+1/2,z+1/2'
'x,-y+1/2,z+1/2'
loop_
_atom_site_label
_atom_site_type_symbol
_atom_site_fract_x
_atom_site_fract_y
_atom_site_fract_z
_atom_site_occupancy
Fe1 Fe 0.000 0.000 0.000 1
Te1 Te 0.000 0.000 0.381 1
Te2 Te 0.500 0.000 0.800 1
Pt1 Pt 0.500 0.000 0.180 1

---

b.
# FeTe2Pt, relaxed, DFT PBE-GGA
# Size of the total moment in Bohr magnetons per cell: 6.84
# D(E_F) in states/eV per cell: 9.5
data_FeTe2Pt
_space_group_name_H-M_alt 'R -3 m'
_space_group_IT_number 166
_space_group_name_Hall '-R 3 2"'
_cell_length_a 3.7044
_cell_length_b 3.7044
_cell_length_c 20.9776
_cell_angle_alpha 90.00
_cell_angle_beta 90.00
_cell_angle_gamma 120.00
loop_
_atom_site_label
_atom_site_type_symbol
_atom_site_fract_x
_atom_site_fract_y
_atom_site_fract_z
_atom_site_occupancy
Fe1 Fe 0.0000 0.0000 0.0000 1
Te1 Te 0.0000 0.0000 0.2515 1
Pt1 Pt 0.0000 0.0000 0.5000 1

---

c.
# FeTe2Pt, relaxed, DFT PBE-GGA
# Size of the total moment in Bohr magnetons per cell: 12.43
# D(E_F) in states/eV per cell: 15.9
data_FeTe2Pt
_space_group_name_H-M_alt 'F -4 3 m'
_space_group_IT_number 216
_space_group_name_Hall 'F -4 2 3'
_cell_length_a 6.920
_cell_length_b 6.920
_cell_length_c 6.920
_cell_angle_alpha 90.00
_cell_angle_beta 90.00
_cell_angle_gamma 90.00
loop_
_atom_site_label
_atom_site_type_symbol
_atom_site_fract_x
_atom_site_fract_y
_atom_site_fract_z
_atom_site_occupancy
Fe1 Fe 0.000 0.000 0.000 1
Te1 Te 0.000 0.000 0.500 1
Te2 Te 0.250 0.250 0.250 1
Pt1 Pt 0.250 0.250 0.750 1

---

Short version: a, b, c, most stable first.

---

a.
# FeTe2Pt, relaxed, DFT PBE-GGA
# Size of the total moment in Bohr magnetons per cell: 1.88
# D(E_F) in states/eV per cell: 1.9
data_FeTe2Pt
_space_group_name_H-M_alt 'P 4/m m m'
_space_group_IT_number 123
_space_group_name_Hall '-P 4 2'
_cell_length_a 3.403
_cell_length_b 3.403
_cell_length_c 6.638
_cell_angle_alpha 90.00
_cell_angle_beta 90.00
_cell_angle_gamma 90.00
loop_
_atom_site_label
_atom_site_type_symbol
_atom_site_fract_x
_atom_site_fract_y
_atom_site_fract_z
_atom_site_occupancy
Fe1 Fe 0.000 0.000 0.000 1
Te1 Te 0.500 0.500 0.238 1
Pt1 Pt 0.000 0.000 0.500 1

---

b.
# FeTe2Pt, relaxed, DFT PBE-GGA
# Size of the total moment in Bohr magnetons per cell: 7.51
# D(E_F) in states/eV per cell: 8.9
data_FeTe2Pt
_space_group_name_H-M_alt 'R 3 m'
_space_group_IT_number 160
_space_group_name_Hall 'R 3 -2"'
_cell_length_a 3.9996
_cell_length_b 3.9996
_cell_length_c 19.9388
_cell_angle_alpha 90.00
_cell_angle_beta 90.00
_cell_angle_gamma 120.00
loop_
_atom_site_label
_atom_site_type_symbol
_atom_site_fract_x
_atom_site_fract_y
_atom_site_fract_z
_atom_site_occupancy
Fe1 Fe 0.0000 0.0000 0.0000 1
Te1 Te 0.0000 0.0000 0.5451 1
Te2 Te 0.0000 0.0000 0.7354 1
Pt1 Pt 0.0000 0.0000 0.2792 1

---

Short version: b, a, most stable first.

---

a.
# FeTe4Pt, relaxed, DFT PBE-GGA
# Size of the total moment in Bohr magnetons per cell: 1.03
# D(E_F) in states/eV per cell: 5.0
data_FeTe4Pt
_space_group_name_H-M_alt 'P 1 2/m 1'
_space_group_IT_number 10
_cell_length_a 5.516
_cell_length_b 3.924
_cell_length_c 6.864
_cell_angle_alpha 90.00
_cell_angle_beta 90.45
_cell_angle_gamma 90.00
loop_
_space_group_symop_operation_xyz
'x,y,z'
'-x,-y,-z'
'-x,y,-z'
'x,-y,z'
loop_
_atom_site_label
_atom_site_type_symbol
_atom_site_fract_x
_atom_site_fract_y
_atom_site_fract_z
_atom_site_occupancy
Fe1 Fe 0.000 0.000 0.000 1
Te1 Te 0.244 0.500 0.848 1
Te2 Te 0.248 0.000 0.318 1
Pt1 Pt 0.000 0.500 0.500 1

---

b.
# FeTe4Pt, relaxed, DFT PBE-GGA
# Size of the total moment in Bohr magnetons per cell: 15.19
# D(E_F) in states/eV per cell: 39.4
data_FeTe4Pt
_space_group_name_H-M_alt 'F -4 3 m'
_space_group_IT_number 216
_space_group_name_Hall 'F -4 2 3'
_cell_length_a 8.671
_cell_length_b 8.671
_cell_length_c 8.671
_cell_angle_alpha 90.00
_cell_angle_beta 90.00
_cell_angle_gamma 90.00
loop_
_atom_site_label
_atom_site_type_symbol
_atom_site_fract_x
_atom_site_fract_y
_atom_site_fract_z
_atom_site_occupancy
Fe1 Fe 0.000 0.000 0.000 1
Te1 Te 0.124 0.124 0.376 1
Pt1 Pt 0.250 0.250 0.750 1

---

Short version: a, b, most stable first.